Record 1
The following is a GGA-PBE calculation of crystalline CoSiNiAu at its relaxed geometry, from the Open Quantum Materials Database.

a b c (Å): 4.1747 4.1747 4.1747
angles (deg): 60.00 60.00 60.00
Last column: nearest neighbours and their distance in Å.
Positions (direct):
Au: 0.2500 0.2500 0.2500  4 Si 2.56, 4 Ni 2.56
Co: 0.7500 0.7500 0.7500  4 Ni 2.56, 4 Si 2.56
Si: 0.0000 0.0000 0.0000  4 Au 2.56, 4 Co 2.56
Ni: 0.5000 0.5000 0.5000  4 Co 2.56, 4 Au 2.56

Results
Offset from the most stable computed form   79 meV/atom
Space-group type   F-43m, No. 216

=====

Record 2
The following is a GGA-PBE calculation of crystalline SmHoCd at its relaxed geometry, from the Open Quantum Materials Database.

a b c (Å): 5.1261 5.1261 5.1261
angles (deg): 60.00 60.00 60.00
Last column: nearest neighbours and their distance in Å.
Positions (direct):
Cd: 0.2500 0.2500 0.2500  4 Sm 3.14
Sm: 0.0000 0.0000 0.0000  4 Ho 3.14, 4 Cd 3.14
Ho: 0.7500 0.7500 0.7500  4 Sm 3.14

Results
E_form   0.50 eV per atom
Space-group type   F-43m, No. 216

=====

Record 3
The following is a GGA-PBE calculation of crystalline Gd3Al2Ni6 at its relaxed geometry, from the Open Quantum Materials Database.

a b c (Å): 7.7505 7.7505 7.7505
angles (deg): 109.47 109.47 109.47
Last column: nearest neighbours and their distance in Å.
Positions (direct):
Ni: 0.6686 0.3343 0.3343  2 Al 2.48, 4 Ni 2.58
Ni: 0.6657 0.3343 0.0000  2 Al 2.48, 4 Ni 2.58
Ni: 0.0000 0.6657 0.3343  2 Al 2.48, 4 Ni 2.58
Ni: 0.3343 0.3343 0.6686  2 Al 2.48, 4 Ni 2.58
Ni: 0.3314 0.6657 0.6657  2 Al 2.48, 4 Ni 2.58
Ni: 0.6657 0.6657 0.3314  2 Al 2.48, 4 Ni 2.58
Ni: 0.3343 0.6657 0.0000  2 Al 2.48, 4 Ni 2.58
Ni: 0.0000 0.3343 0.6657  2 Al 2.48, 4 Ni 2.58
Ni: 0.6657 0.0000 0.3343  2 Al 2.48, 4 Ni 2.58
Ni: 0.6657 0.3314 0.6657  2 Al 2.48, 4 Ni 2.58
Ni: 0.3343 0.0000 0.6657  2 Al 2.48, 4 Ni 2.58
Ni: 0.3343 0.6686 0.3343  2 Al 2.48, 4 Ni 2.58
Al: 0.0000 0.5000 0.0000  6 Ni 2.48
Al: 0.5000 0.5000 0.5000  6 Ni 2.48
Al: 0.5000 0.0000 0.0000  6 Ni 2.48
Al: 0.0000 0.0000 0.5000  6 Ni 2.48
Gd: 0.7075 0.0000 0.7075  8 Ni 2.80-3.02
Gd: 0.7075 0.7075 0.0000  8 Ni 2.80-3.02
Gd: 0.0000 0.2925 0.2925  8 Ni 2.80-3.02
Gd: 0.2925 0.2925 0.0000  8 Ni 2.80-3.02
Gd: 0.2925 0.0000 0.2925  8 Ni 2.80-3.02
Gd: 0.0000 0.7075 0.7075  8 Ni 2.80-3.02

Results
Space-group type   Im-3m, No. 229

=====

Record 4
The following is a GGA-PBE calculation of crystalline Nb2AsW at its relaxed geometry, from the Open Quantum Materials Database.

a b c (Å): 4.5604 4.5604 4.5604
angles (deg): 60.00 60.00 60.00
Last column: nearest neighbours and their distance in Å.
Positions (direct):
W: 0.2500 0.2500 0.2500  4 As 2.79, 4 Nb 2.79
Nb: 0.7500 0.7500 0.7500  4 As 2.79, 4 Nb 2.79
Nb: 0.0000 0.0000 0.0000  4 Nb 2.79, 4 W 2.79
As: 0.5000 0.5000 0.5000  4 Nb 2.79, 4 W 2.79

Results
Space-group type   F-43m, No. 216

=====

Number 1: DFT total energy -21.139 eV per formula unit, magnetization 0.16 μB per formula unit. Number 2: DFT total energy -8.685 eV per formula unit, magnetization 0.01 μB per formula unit. Number 3: DFT total energy -60.837 eV per formula unit, magnetization 0.04 μB per formula unit. Number 4: DFT total energy -37.044 eV per formula unit, magnetization 0.01 μB per formula unit.